Ac2YAg4 after structural relaxation. Source: the Alexandria database, functional GGA-PBE.

Crystal system   tetragonal
Calculated formation energy   -0.111 eV per atom

a = 5.610 Å, b = 5.610 Å, c = 13.235 Å
α = 90.00°, β = 90.00°, γ = 90.00°
Space group I4/mmm (No. 139)
Unique sites:
Ac 0.000 0.000 0.215 [4 per cell]
Y 0.000 0.000 0.500 [2 per cell]
Ag 0.000 0.500 0.108 [8 per cell]

***

Ac2YAg3 after structural relaxation. Source: the Alexandria database, functional GGA-PBE.

Crystal system   tetragonal
Calculated formation energy   -0.271 eV per atom

a = 3.840 Å, b = 3.840 Å, c = 11.647 Å
α = 90.00°, β = 90.00°, γ = 90.00°
Space group P4/mmm (No. 123)
Unique sites:
Ac 0.000 0.000 0.175 [2 per cell]
Y 0.000 0.000 0.500 [1 per cell]
Ag 0.500 0.500 0.000 [1 per cell]
Ag 0.500 0.500 0.361 [2 per cell]

***

AcYAg2 after structural relaxation. Source: the Alexandria database, functional GGA-PBE.

ΔE to the lowest computed polymorph   4.2 kJ per mole of atoms
Crystal system   cubic
Calculated formation energy   -0.240 eV per atom

a = 7.646 Å, b = 7.646 Å, c = 7.646 Å
α = 90.00°, β = 90.00°, γ = 90.00°
Space group Fm-3m (No. 225)
Unique sites:
Ac 0.000 0.000 0.000 [4 per cell]
Y 0.000 0.000 0.500 [4 per cell]
Ag 0.250 0.250 0.250 [8 per cell]

***

Ac2YAg2 after structural relaxation. Source: the Alexandria database, functional GGA-PBE.

Crystal system   tetragonal
Calculated formation energy   -0.172 eV per atom

a = 7.923 Å, b = 7.923 Å, c = 5.093 Å
α = 90.00°, β = 90.00°, γ = 90.00°
Space group P4/mbm (No. 127)
Unique sites:
Ac 0.177 0.323 0.000 [4 per cell]
Y 0.000 0.000 0.500 [2 per cell]
Ag 0.128 0.628 0.500 [4 per cell]

***

AcY2Ag3 after structural relaxation. Source: the Alexandria database, functional GGA-PBE.

Crystal system   tetragonal
Calculated formation energy   -0.296 eV per atom

a = 3.730 Å, b = 3.730 Å, c = 11.335 Å
α = 90.00°, β = 90.00°, γ = 90.00°
Space group P4/mmm (No. 123)
Unique sites:
Ac 0.000 0.000 0.000 [1 per cell]
Y 0.000 0.000 0.342 [2 per cell]
Ag 0.500 0.500 0.195 [2 per cell]
Ag 0.500 0.500 0.500 [1 per cell]

***

AcYbAg2 after structural relaxation. Source: the Alexandria database, functional GGA-PBE.

Crystal system   cubic
Calculated formation energy   -0.334 eV per atom

a = 7.662 Å, b = 7.662 Å, c = 7.662 Å
α = 90.00°, β = 90.00°, γ = 90.00°
Space group Fm-3m (No. 225)
Unique sites:
Ac 0.000 0.000 0.000 [4 per cell]
Yb 0.000 0.000 0.500 [4 per cell]
Ag 0.250 0.250 0.250 [8 per cell]

***

Ac2ZnAg7 after structural relaxation. Source: the Alexandria database, functional GGA-PBE.

Crystal system   tetragonal
Calculated formation energy   -0.164 eV per atom

a = 4.559 Å, b = 4.559 Å, c = 11.516 Å
α = 90.00°, β = 90.00°, γ = 90.00°
Space group P-4m2 (No. 115)
Unique sites:
Ac 0.000 0.500 0.247 [2 per cell]
Zn 0.500 0.500 0.000 [1 per cell]
Ag 0.000 0.000 0.000 [1 per cell]
Ag 0.000 0.000 0.500 [1 per cell]
Ag 0.000 0.500 0.639 [2 per cell]
Ag 0.000 0.500 0.872 [2 per cell]
Ag 0.500 0.500 0.500 [1 per cell]

***

Ac2Zn5Ag12 after structural relaxation. Source: the Alexandria database, functional GGA-PBE.

Crystal system   trigonal
Calculated formation energy   -0.132 eV per atom

a = 9.6460 Å, b = 9.6460 Å, c = 14.0636 Å
α = 90.00°, β = 90.00°, γ = 120.00°
Space group R-3m (No. 166, hexagonal axes)
Unique sites:
Ac 0.0000 0.0000 0.1512 [6 per cell]
Zn 0.0000 0.0000 0.4014 [6 per cell]
Zn 0.0000 0.5000 0.0000 [9 per cell]
Ag 0.0000 0.2967 0.5000 [18 per cell]
Ag 0.0119 0.5060 0.3478 [18 per cell]

***

| no. | mass density (g/cm³) | uncorrected energy (eV per atom) |
| --- | --- | --- |
| 1 | 7.77 | -3.838 |
| 2 | 8.38 | -4.144 |
| 3 | 7.90 | -4.308 |
| 4 | 7.88 | -4.249 |
| 5 | 7.67 | -4.561 |
| 6 | 9.09 | -3.168 |
| 7 | 8.84 | -3.109 |
| 8 | 9.12 | -2.701 |